# Ac2ThTe2S2 | Alexandria via LeMat-Bulk | GGA-PBE | optimized geometry
# Formation energy without anion corrections, meV/atom: -1497.9
# Calculated total energy, eV/atom: -5.81
# Size of the total moment, μB per formula unit: 0.0
data_Ac2ThTe2S2
_chemical_formula_sum 'Ac4 Th2 Te4 S4'
_space_group_name_H-M_alt 'I 4/m m m'
_space_group_IT_number 139
_space_group_name_Hall '-I 4 2'
_cell_length_a 5.2925
_cell_length_b 5.2925
_cell_length_c 16.8087
_cell_angle_alpha 90.00
_cell_angle_beta 90.00
_cell_angle_gamma 90.00
loop_
_atom_site_label
_atom_site_type_symbol
_atom_site_fract_x
_atom_site_fract_y
_atom_site_fract_z
_atom_site_occupancy
Ac1 Ac 0.0000 0.0000 0.1190 1
Th1 Th 0.0000 0.0000 0.5000 1
Te1 Te 0.0000 0.0000 0.3151 1
S1 S 0.0000 0.5000 0.0000 1